This record from Alexandria via LeMat-Bulk describes a geometry-optimized LaMnNO2 structure. The functional is GGA+U.

Cell lengths 4.4377, 4.4377, 4.4234 Å; angles 90.00, 90.00, 90.00 degrees
Space group P4/mmm (No. 123)
Inequivalent atoms, fractional coordinates:
La (0.0000, 0.0000, 0.0000) (multiplicity 1)
Mn (0.5000, 0.5000, 0.5000) (multiplicity 1)
N (0.0000, 0.0000, 0.5000) (multiplicity 1)
O (0.0000, 0.5000, 0.0000) (multiplicity 2)

Output
For the density of states at the Fermi level, the calculation gives 4.463 states/eV per cell. As for the uncorrected energy: -29.53 eV per formula unit.